# 1
Compound: U4Ga16Ni3
Source: the Alexandria database
Functional: PBE
Structure: optimized geometry

Output
The electronic total energy comes out at -5.1258 eV per atom. As for the density: 9.1 g/cm3. For the formation energy from the elements, the calculation gives -0.303 eV per atom.

The structure in CIF format:
```
data_U4Ga16Ni3
_symmetry_space_group_name_H-M 'P 1'
_symmetry_Int_Tables_number 1
_symmetry_space_group_name_Hall 'P 1'
_cell_length_a 6.0706
_cell_length_b 6.0706
_cell_length_c 11.0725
_cell_angle_alpha 90.00
_cell_angle_beta 90.00
_cell_angle_gamma 90.00
loop_
_atom_site_label
_atom_site_type_symbol
_atom_site_fract_x
_atom_site_fract_y
_atom_site_fract_z
Ga1 Ga 0.0000 0.0000 0.2208
Ga2 Ga 0.5000 0.5000 0.1990
Ga3 Ga 0.2527 0.2527 0.6193
Ga4 Ga 0.7473 0.2527 0.6193
Ga5 Ga 0.2799 0.2799 0.0000
Ga6 Ga 0.7201 0.2799 0.0000
Ga7 Ga 0.2527 0.7473 0.6193
Ga8 Ga 0.5000 0.5000 0.8010
Ga9 Ga 0.2799 0.7201 0.0000
Ga10 Ga 0.0000 0.0000 0.7792
Ga11 Ga 0.7201 0.7201 0.0000
Ga12 Ga 0.2527 0.2527 0.3807
Ga13 Ga 0.7473 0.2527 0.3807
Ga14 Ga 0.7473 0.7473 0.6193
Ga15 Ga 0.7473 0.7473 0.3807
Ga16 Ga 0.2527 0.7473 0.3807
Ni1 Ni 0.0000 0.0000 0.0000
Ni2 Ni 0.5000 0.0000 0.5000
Ni3 Ni 0.0000 0.5000 0.5000
U1 U 0.0000 0.5000 0.8087
U2 U 0.0000 0.5000 0.1913
U3 U 0.5000 0.0000 0.1913
U4 U 0.5000 0.0000 0.8087
```


# 2
Compound: UGa8Ni4
Source: the Alexandria database
Functional: PBE
Structure: optimized geometry

Output
The electronic total energy comes out at -4.8173 eV per atom. As for the density: 8.9 g/cm3. For the formation energy from the elements, the calculation gives -0.307 eV per atom.

The structure in CIF format:
```
data_UGa8Ni4
_symmetry_space_group_name_H-M 'P 1'
_symmetry_Int_Tables_number 1
_symmetry_space_group_name_Hall 'P 1'
_cell_length_a 5.1440
_cell_length_b 6.6306
_cell_length_c 6.6306
_cell_angle_alpha 81.35
_cell_angle_beta 67.18
_cell_angle_gamma 67.18
loop_
_atom_site_label
_atom_site_type_symbol
_atom_site_fract_x
_atom_site_fract_y
_atom_site_fract_z
Ga1 Ga 0.0000 0.3434 0.6566
Ga2 Ga 0.0000 0.6566 0.3434
Ga3 Ga 0.2803 0.2197 0.2197
Ga4 Ga 0.5000 0.2197 0.7803
Ga5 Ga 0.5000 0.7803 0.2197
Ga6 Ga 0.3434 0.6566 0.6566
Ga7 Ga 0.6566 0.3434 0.3434
Ga8 Ga 0.7197 0.7803 0.7803
Ni1 Ni 0.5000 0.0000 0.5000
Ni2 Ni 0.0000 0.5000 0.0000
Ni3 Ni 0.0000 0.0000 0.5000
Ni4 Ni 0.5000 0.5000 0.0000
U1 U 0.0000 0.0000 0.0000
```


# 3
Compound: UGa2Ni7
Source: the Alexandria database
Functional: PBE
Structure: optimized geometry

Output
The electronic total energy comes out at -5.6596 eV per atom. As for the density: 8.2 g/cm3. For the formation energy from the elements, the calculation gives 0.121 eV per atom.

The structure in CIF format:
```
data_UGa2Ni7
_symmetry_space_group_name_H-M 'P 1'
_symmetry_Int_Tables_number 1
_symmetry_space_group_name_Hall 'P 1'
_cell_length_a 4.1020
_cell_length_b 6.7661
_cell_length_c 6.7661
_cell_angle_alpha 121.87
_cell_angle_beta 90.00
_cell_angle_gamma 90.00
loop_
_atom_site_label
_atom_site_type_symbol
_atom_site_fract_x
_atom_site_fract_y
_atom_site_fract_z
Ni1 Ni 0.0000 0.1990 0.8010
Ni2 Ni 0.5000 0.2899 0.0743
Ni3 Ni 0.5000 0.7101 0.9257
Ni4 Ni 0.5000 0.0743 0.2899
Ni5 Ni 0.0000 0.8010 0.1990
Ni6 Ni 0.5000 0.9257 0.7101
Ni7 Ni 0.5000 0.5000 0.5000
Ga1 Ga 0.5000 0.2998 0.7002
Ga2 Ga 0.5000 0.7002 0.2998
U1 U 0.0000 0.0000 0.0000
```